Entry 1:
VASP calculation (PBE) on crystalline Li3Ag at its relaxed geometry.

Unit cell a=4.5605 b=4.5605 c=4.5605 alpha=60.00 beta=60.00 gamma=60.00
With the nearest neighbours (Å) after each atom.
Atoms (fractional coordinates):
Li 0.0000 0.0000 0.0000  8 Li 2.79
Li 0.2500 0.2500 0.2500  4 Ag 2.79, 4 Li 2.79
Li 0.7500 0.7500 0.7500  4 Ag 2.79, 4 Li 2.79
Ag 0.5000 0.5000 0.5000  8 Li 2.79

Properties
Energy relative to the lowest polymorph listed for this composition: 4 meV/atom
M_tot: 0.000 μB/f.u.
Formation energy: -143 meV/atom
SG: No. 225
Total energy: -9.164 eV/cell



Entry 2:
VASP calculation (PBE) on crystalline LiY2MgRu at its relaxed geometry.

Unit cell a=5.2819 b=5.2819 c=5.2176 alpha=90.00 beta=90.00 gamma=90.00
With the nearest neighbours (Å) after each atom.
Atoms (fractional coordinates):
Li 0.0000 0.0000 0.0000  8 Y 3.71, 4 Mg 3.73
Y 0.0000 0.5000 0.5000  2 Ru 2.64
Y 0.5000 0.0000 0.5000  2 Ru 2.64
Mg 0.5000 0.5000 0.0000  2 Ru 2.61
Ru 0.5000 0.5000 0.5000  2 Mg 2.61, 4 Y 2.64

Properties
M_tot: 0.000 μB/f.u.
Formation energy: 1 meV/atom
SG: No. 123
Total energy: -25.705 eV/cell



Entry 3:
VASP calculation (PBE) on crystalline PrZrPtO6 at its relaxed geometry.

Unit cell a=5.4052 b=5.4052 c=10.3064 alpha=90.00 beta=90.00 gamma=120.00
With the nearest neighbours (Å) after each atom.
Atoms (fractional coordinates):
Pr 0.0000 0.0000 0.0000  6 O 2.43
Pr 0.0000 0.0000 0.5000  6 O 2.43
Zr 0.3333 0.6667 0.2500  6 O 2.12
Zr 0.6667 0.3333 0.7500  6 O 2.12
Pt 0.3333 0.6667 0.7500  6 O 2.02
Pt 0.6667 0.3333 0.2500  6 O 2.02
O 0.0155 0.3675 0.6405  1 Pt 2.02, 1 Zr 2.12
O 0.0155 0.6480 0.8595  1 Pt 2.02, 1 Zr 2.12
O 0.3520 0.3675 0.8595  1 Pt 2.02, 1 Zr 2.12
O 0.3520 0.9845 0.6405  1 Pt 2.02, 1 Zr 2.12
O 0.3675 0.0155 0.1405  1 Pt 2.02, 1 Zr 2.12
O 0.3675 0.3520 0.3595  1 Pt 2.02, 1 Zr 2.12
O 0.6325 0.6480 0.6405  1 Pt 2.02, 1 Zr 2.12
O 0.6325 0.9845 0.8595  1 Pt 2.02, 1 Zr 2.12
O 0.6480 0.0155 0.3595  1 Pt 2.02, 1 Zr 2.12
O 0.6480 0.6325 0.1405  1 Pt 2.02, 1 Zr 2.12
O 0.9845 0.3520 0.1405  1 Pt 2.02, 1 Zr 2.12
O 0.9845 0.6325 0.3595  1 Pt 2.02, 1 Zr 2.12

Properties
E_form (uncorrected): -2.149 eV/atom
M_tot: 0.870 μB/f.u.
SG: No. 163
Total energy: -136.910 eV/cell